11
Lattice="-5.4429 2.0068 -1.6536 1.1529 -5.9211 0.0217 -0.8682 2.9286 6.4121" Properties=species:S:1:pos:R:3 comment="PBE Rb2PaAl2O6, relaxed" total_energy_ev_per_atom=-7.0742 m_tot_mub_per_cell=1.00 pbc="T T T"
Rb -3.5184 -0.6839 -0.2514
Rb -1.6399 -0.3018 5.0316
Pa -3.1556 2.4677 2.3793
Al -4.7149 -0.9080 3.4152
Al -0.4433 -0.0776 1.3650
O -4.0867 0.7250 3.3291
O -1.6353 1.2047 1.4291
O -0.7591 -3.2094 4.1908
O -3.5230 -2.1903 3.3511
O -4.3991 2.2238 0.5894
O -1.0715 -1.7106 1.4511

***

12
Lattice="4.6612 -0.0459 -0.0030 -0.0115 4.6597 -0.0052 0.0039 0.0070 6.1579" Properties=species:S:1:pos:R:3 comment="PBE PaAl2RhO8, relaxed" total_energy_ev_per_atom=-7.6782 m_tot_mub_per_cell=0.53 pbc="T T T"
Pa 0.0019 0.0035 3.0789
Al 2.3278 2.3122 4.6617
Al 2.3258 2.3086 1.4880
Rh 0.0000 0.0000 0.0000
O 0.9968 3.6446 1.4099
O 3.2497 3.2294 6.1521
O 3.6548 0.9724 1.4112
O 3.6569 0.9762 4.7397
O 1.4040 1.3914 -0.0024
O 0.9989 3.6484 4.7385
O 3.1539 3.1334 3.0733
O 1.4998 1.4874 3.0764